YSb2Ir | meta-GGA SCAN | PBEsol geometry

a b c (Å): 3.373 3.373 7.451
angles (deg): 90.00 90.00 90.00
Sites, in units of the cell vectors:
Y 0.000 0.000 0.000
Sb 0.500 0.500 0.289
Sb 0.500 0.500 0.711
Ir 0.000 0.000 0.500

## Properties
Final energy = -43.518 eV per atom
Symmetry = No. 123
Magnetization = 0.16 Bohr magnetons per cell

---

Mg2InAuSe | meta-GGA SCAN | PBEsol geometry

a b c (Å): 5.035 5.035 5.277
angles (deg): 90.00 90.00 90.00
Sites, in units of the cell vectors:
Mg 0.000 0.500 0.000
Mg 0.500 0.000 0.000
In 0.000 0.000 0.500
Au 0.500 0.500 0.000
Se 0.500 0.500 0.500

## Properties
Final energy = -26.588 eV per atom
Symmetry = No. 123
Magnetization = 0.00 Bohr magnetons per cell

---

Re2TcAs | meta-GGA SCAN | PBEsol geometry

a b c (Å): 9.267 2.872 4.436
angles (deg): 90.00 95.65 90.00
Sites, in units of the cell vectors:
Re 0.234 0.000 0.238
Re 0.266 0.500 0.762
Re 0.734 0.500 0.238
Re 0.766 0.000 0.762
Tc 0.000 0.500 0.000
Tc 0.500 0.000 0.000
As 0.000 0.000 0.500
As 0.500 0.500 0.500

## Properties
Final energy = -49.126 eV per atom
Symmetry = No. 12
Energy of formation = 0.235 eV/atom
Magnetization = 0.00 Bohr magnetons per cell

---

Y2Mn3 | meta-GGA SCAN | PBEsol geometry

a b c (Å): 3.850 3.850 23.654
angles (deg): 90.00 90.00 120.00
Sites, in units of the cell vectors:
Y 0.000 0.000 0.233
Y 0.000 0.000 0.767
Y 0.333 0.667 0.433
Y 0.333 0.667 0.900
Y 0.667 0.333 0.100
Y 0.667 0.333 0.567
Mn 0.000 0.000 0.000
Mn 0.000 0.000 0.351
Mn 0.000 0.000 0.649
Mn 0.333 0.667 0.018
Mn 0.333 0.667 0.316
Mn 0.333 0.667 0.667
Mn 0.667 0.333 0.333
Mn 0.667 0.333 0.684
Mn 0.667 0.333 0.982

## Properties
Final energy = -21.916 eV per atom
Symmetry = No. 166
Energy of formation = 0.174 eV/atom
Magnetization = 0.01 Bohr magnetons per cell

---

Hf3AsSe | meta-GGA SCAN | PBEsol geometry

a b c (Å): 4.907 4.907 4.907
angles (deg): 90.00 90.00 90.00
Sites, in units of the cell vectors:
Hf 0.000 0.000 0.500
Hf 0.000 0.500 0.000
Hf 0.500 0.000 0.000
As 0.000 0.000 0.000
Se 0.500 0.500 0.500

## Properties
Final energy = -45.244 eV per atom
Symmetry = No. 221
Magnetization = 0.00 Bohr magnetons per cell

---

Li2TlSb | meta-GGA SCAN | PBEsol geometry

a b c (Å): 6.845 6.905 3.464
angles (deg): 90.00 90.00 90.00
Sites, in units of the cell vectors:
Li 0.250 0.250 0.000
Li 0.250 0.750 0.000
Li 0.750 0.250 0.000
Li 0.750 0.750 0.000
Tl 0.000 0.000 0.500
Tl 0.500 0.500 0.500
Sb 0.000 0.500 0.500
Sb 0.500 0.000 0.500

## Properties
Final energy = -28.996 eV per atom
Symmetry = No. 65
Magnetization = 0.00 Bohr magnetons per cell

---

Li2Cd3 | meta-GGA SCAN | PBEsol geometry

a b c (Å): 3.000 3.000 36.430
angles (deg): 90.00 90.00 120.00
Sites, in units of the cell vectors:
Li 0.000 0.000 0.101
Li 0.000 0.000 0.899
Li 0.333 0.667 0.565
Li 0.333 0.667 0.768
Li 0.667 0.333 0.232
Li 0.667 0.333 0.435
Cd 0.000 0.000 0.297
Cd 0.000 0.000 0.500
Cd 0.000 0.000 0.703
Cd 0.333 0.667 0.167
Cd 0.333 0.667 0.370
Cd 0.333 0.667 0.964
Cd 0.667 0.333 0.036
Cd 0.667 0.333 0.630
Cd 0.667 0.333 0.833

## Properties
Final energy = -19.372 eV per atom
E above lowest polymorph = 64 meV per atom
Symmetry = No. 166
Energy of formation = -0.167 eV/atom
Magnetization = 0.00 Bohr magnetons per cell

---

K2LiBi2 | meta-GGA SCAN | PBEsol geometry

a b c (Å): 7.675 7.675 5.745
angles (deg): 90.00 90.00 90.00
Sites, in units of the cell vectors:
K 0.164 0.336 0.000
K 0.336 0.836 0.000
K 0.664 0.164 0.000
K 0.836 0.664 0.000
Li 0.000 0.000 0.500
Li 0.500 0.500 0.500
Bi 0.142 0.642 0.500
Bi 0.358 0.142 0.500
Bi 0.642 0.858 0.500
Bi 0.858 0.358 0.500

## Properties
Final energy = -35.629 eV per atom
Symmetry = No. 127
Energy of formation = -0.388 eV/atom
Magnetization = 0.00 Bohr magnetons per cell

---

La3AsOs | meta-GGA SCAN | PBEsol geometry

a b c (Å): 5.477 5.477 5.477
angles (deg): 90.00 90.00 90.00
Sites, in units of the cell vectors:
La 0.000 0.000 0.500
La 0.000 0.500 0.000
La 0.500 0.000 0.000
As 0.000 0.000 0.000
Os 0.500 0.500 0.500

## Properties
Final energy = -43.891 eV per atom
Symmetry = No. 221
Energy of formation = 0.386 eV/atom
Magnetization = 0.00 Bohr magnetons per cell

---

TeMoI3 | meta-GGA SCAN | PBEsol geometry

a b c (Å): 5.316 5.316 5.316
angles (deg): 90.00 90.00 90.00
Sites, in units of the cell vectors:
Te 0.000 0.000 0.000
Mo 0.500 0.500 0.500
I 0.000 0.500 0.500
I 0.500 0.000 0.500
I 0.500 0.500 0.000

## Properties
Final energy = -35.972 eV per atom
Symmetry = No. 221
Magnetization = 0.82 Bohr magnetons per cell

---

InMoI2N | meta-GGA SCAN | PBEsol geometry

a b c (Å): 5.936 5.936 3.934
angles (deg): 90.00 90.00 90.00
Sites, in units of the cell vectors:
In 0.000 0.000 0.000
Mo 0.500 0.500 0.500
I 0.000 0.500 0.000
I 0.500 0.000 0.000
N 0.000 0.000 0.500

## Properties
Final energy = -29.076 eV per atom
Symmetry = No. 123
Magnetization = 5.77 Bohr magnetons per cell

---

HfTi2BiW | meta-GGA SCAN | PBEsol geometry

a b c (Å): 4.860 4.860 5.205
angles (deg): 90.00 90.00 90.00
Sites, in units of the cell vectors:
Hf 0.000 0.000 0.000
Ti 0.000 0.500 0.500
Ti 0.500 0.000 0.500
Bi 0.000 0.000 0.500
W 0.500 0.500 0.000

## Properties
Final energy = -46.715 eV per atom
Symmetry = No. 123
Energy of formation = 1.885 eV/atom
Magnetization = 0.00 Bohr magnetons per cell